Entry from Alexandria: a geometry-optimized Pr3Y2Tm7 structure (PBE-GGA).

Cell lengths 6.329, 3.520, 17.507 Å; angles 90.00, 96.33, 90.00 degrees
Sites, in units of the cell vectors:
Pr1 0.000 0.000 0.000
Pr2 0.047 0.500 0.658
Pr3 0.953 0.500 0.342
Y1 0.445 0.000 0.325
Y2 0.555 0.000 0.675
Tm1 0.231 0.500 0.164
Tm2 0.248 0.000 0.500
Tm3 0.275 0.000 0.835
Tm4 0.500 0.500 0.000
Tm5 0.725 0.000 0.165
Tm6 0.752 0.000 0.500
Tm7 0.769 0.500 0.836

Properties
Space-group type: P2/m, No. 10
ΔE_f, eV per atom: 0.095
Energy above the lowest structure with this stoichiometry, meV per atom: 2


Entry from Alexandria: a geometry-optimized Pr2Y2Tm15 structure (PBE-GGA).

Cell lengths 8.642, 8.642, 8.642 Å; angles 80.20, 80.20, 80.20 degrees
Sites, in units of the cell vectors:
Pr1 0.118 0.118 0.118
Pr2 0.882 0.882 0.882
Y1 0.332 0.332 0.332
Y2 0.668 0.668 0.668
Tm1 0.000 0.000 0.500
Tm2 0.000 0.306 0.694
Tm3 0.000 0.500 0.000
Tm4 0.000 0.694 0.306
Tm5 0.153 0.634 0.634
Tm6 0.306 0.000 0.694
Tm7 0.306 0.694 0.000
Tm8 0.366 0.366 0.847
Tm9 0.366 0.847 0.366
Tm10 0.500 0.000 0.000
Tm11 0.634 0.153 0.634
Tm12 0.634 0.634 0.153
Tm13 0.694 0.000 0.306
Tm14 0.694 0.306 0.000
Tm15 0.847 0.366 0.366

Properties
Space-group type: R-3m, No. 166
ΔE_f, eV per atom: 0.280


Record-wise Fermi-level density of states values, in states/eV per atom: 1.4969; 1.7330